Entry from Alexandria: a relaxed structure of Zr2MoW (GGA-PBE).

a = 6.0106 Å, b = 6.0106 Å, c = 6.0106 Å
α = 102.92°, β = 102.92°, γ = 123.57°
Element x y z (fractional)
1 Zr 0.1211 0.6250 0.9961
2 Zr 0.3750 0.3711 0.4961
3 Zr 0.6289 0.1250 0.0039
4 Zr 0.8750 0.8789 0.5039
5 Mo 0.0000 0.0000 0.0000
6 Mo 0.7500 0.2500 0.5000
7 W 0.2500 0.7500 0.5000
8 W 0.5000 0.5000 0.0000

Total magnetic moment, μB per cell: 0.0
Energy of formation from the pure elements, eV per atom: 0.75
E above lowest polymorph, eV per atom: 0.725

=====

Entry from Alexandria: a relaxed structure of LaNd3Y3 (GGA-PBE).

a = 8.3387 Å, b = 8.3387 Å, c = 8.3387 Å
α = 69.43°, β = 69.43°, γ = 69.43°
Element x y z (fractional)
1 La 0.0898 0.0898 0.0898
2 La 0.9102 0.9102 0.9102
3 Nd 0.2348 0.6631 0.3749
4 Nd 0.3369 0.6251 0.7652
5 Nd 0.3749 0.2348 0.6631
6 Nd 0.6251 0.7652 0.3369
7 Nd 0.6631 0.3749 0.2348
8 Nd 0.7652 0.3369 0.6251
9 Y 0.0535 0.4776 0.1942
10 Y 0.1942 0.0535 0.4776
11 Y 0.4776 0.1942 0.0535
12 Y 0.5224 0.8058 0.9465
13 Y 0.8058 0.9465 0.5224
14 Y 0.9465 0.5224 0.8058

Total magnetic moment, μB per cell: 0.0
Energy of formation from the pure elements, eV per atom: 0.13
E above lowest polymorph, eV per atom: 0.000

=====

Entry from Alexandria: a relaxed structure of CuTe2Pb (GGA-PBE).

a = 5.3031 Å, b = 5.3031 Å, c = 5.2501 Å
α = 108.01°, β = 108.01°, γ = 111.62°
Element x y z (fractional)
1 Cu 0.0000 0.0000 0.0000
2 Te 0.0000 0.5000 0.5000
3 Te 0.5000 0.0000 0.5000
4 Pb 0.5000 0.5000 0.0000

Total magnetic moment, μB per cell: 0.0
Calculated total energy, eV per atom: -3.378

=====

Entry from Alexandria: a relaxed structure of Tc3SnBr (GGA-PBE).

a = 5.1454 Å, b = 5.1454 Å, c = 5.1454 Å
α = 90.00°, β = 90.00°, γ = 90.00°
Element x y z (fractional)
1 Tc 0.0000 0.0000 0.5000
2 Tc 0.0000 0.5000 0.0000
3 Tc 0.5000 0.0000 0.0000
4 Sn 0.0000 0.0000 0.0000
5 Br 0.5000 0.5000 0.5000

Total magnetic moment, μB per cell: 9.3
E above lowest polymorph, eV per atom: 0.638

=====

Entry from Alexandria: a relaxed structure of SbAuNO2 (GGA-PBE).

a = 4.0680 Å, b = 4.0680 Å, c = 4.1408 Å
α = 90.00°, β = 90.00°, γ = 90.00°
Element x y z (fractional)
1 Sb 0.0000 0.0000 0.0000
2 Au 0.5000 0.5000 0.5000
3 N 0.5000 0.5000 0.0000
4 O 0.0000 0.5000 0.5000
5 O 0.5000 0.0000 0.5000

Total magnetic moment, μB per cell: 0.0
Calculated total energy, eV per atom: -4.391

=====

Entry from Alexandria: a relaxed structure of Sc4VPb2 (GGA-PBE).

a = 8.5797 Å, b = 8.5797 Å, c = 8.5797 Å
α = 148.35°, β = 148.35°, γ = 45.37°
Element x y z (fractional)
1 Sc 0.0000 0.5000 0.5000
2 Sc 0.1734 0.1734 0.0000
3 Sc 0.5000 0.0000 0.5000
4 Sc 0.8266 0.8266 0.0000
5 V 0.0000 0.0000 0.0000
6 Pb 0.3604 0.3604 0.0000
7 Pb 0.6396 0.6396 0.0000

Total magnetic moment, μB per cell: 0.5
Energy of formation from the pure elements, eV per atom: 0.16

=====

Entry from Alexandria: a relaxed structure of BaAgHg2Sb (GGA-PBE).

a = 7.1722 Å, b = 7.1722 Å, c = 7.1722 Å
α = 141.67°, β = 140.01°, γ = 56.59°
Element x y z (fractional)
1 Ba 0.0000 0.0000 0.0000
2 Ag 0.2378 0.7378 0.5000
3 Hg 0.3831 0.3831 0.0000
4 Hg 0.7644 0.2644 0.5000
5 Sb 0.6136 0.6136 0.0000

Total magnetic moment, μB per cell: 0.0
E above lowest polymorph, eV per atom: 0.000

=====

Entry from Alexandria: a relaxed structure of Y2IrI (GGA-PBE).

a = 8.2111 Å, b = 8.2111 Å, c = 8.2111 Å
α = 29.14°, β = 29.14°, γ = 29.14°
Element x y z (fractional)
1 Y 0.2266 0.2266 0.2266
2 Y 0.7734 0.7734 0.7734
3 Ir 0.5000 0.5000 0.5000
4 I 0.0000 0.0000 0.0000

Total magnetic moment, μB per cell: 0.0
E above lowest polymorph, eV per atom: 0.000

=====

Entry from Alexandria: a relaxed structure of KSiAs2Pd (GGA-PBE).

a = 5.1843 Å, b = 5.1843 Å, c = 4.6543 Å
α = 90.00°, β = 90.00°, γ = 90.00°
Element x y z (fractional)
1 K 0.0000 0.0000 0.0000
2 Si 0.5000 0.5000 0.0000
3 As 0.0000 0.5000 0.5000
4 As 0.5000 0.0000 0.5000
5 Pd 0.5000 0.5000 0.5000

Total magnetic moment, μB per cell: 0.0
Calculated total energy, eV per atom: -3.946

=====

Entry from Alexandria: a relaxed structure of Pr7Y12Sc (GGA-PBE).

a = 9.8429 Å, b = 9.8429 Å, c = 9.8429 Å
α = 109.47°, β = 109.47°, γ = 109.47°
Element x y z (fractional)
1 Pr 0.0000 0.0000 0.5000
2 Pr 0.0000 0.5000 0.0000
3 Pr 0.0000 0.5000 0.5000
4 Pr 0.5000 0.0000 0.0000
5 Pr 0.5000 0.0000 0.5000
6 Pr 0.5000 0.5000 0.0000
7 Pr 0.5000 0.5000 0.5000
8 Y 0.0000 0.2440 0.7560
9 Y 0.0000 0.7560 0.2440
10 Y 0.2440 0.0000 0.7560
11 Y 0.2440 0.2440 0.4880
12 Y 0.2440 0.4880 0.2440
13 Y 0.2440 0.7560 0.0000
14 Y 0.4880 0.2440 0.2440
15 Y 0.5120 0.7560 0.7560
16 Y 0.7560 0.0000 0.2440
17 Y 0.7560 0.2440 0.0000
18 Y 0.7560 0.5120 0.7560
19 Y 0.7560 0.7560 0.5120
20 Sc 0.0000 0.0000 0.0000

Total magnetic moment, μB per cell: 0.0
Energy of formation from the pure elements, eV per atom: 0.65
E above lowest polymorph, eV per atom: 0.406

=====

Entry from Alexandria: a relaxed structure of CrOsW3 (GGA-PBE).

a = 4.4130 Å, b = 4.4130 Å, c = 4.4130 Å
α = 90.00°, β = 90.00°, γ = 90.00°
Element x y z (fractional)
1 Cr 0.0000 0.0000 0.0000
2 Os 0.5000 0.5000 0.5000
3 W 0.0000 0.0000 0.5000
4 W 0.0000 0.5000 0.0000
5 W 0.5000 0.0000 0.0000

Total magnetic moment, μB per cell: 0.0
Energy of formation from the pure elements, eV per atom: 1.65
E above lowest polymorph, eV per atom: 0.000

=====

Entry from Alexandria: a relaxed structure of Li3PtRh2O6 (GGA-PBE).

a = 5.5273 Å, b = 5.5273 Å, c = 5.0239 Å
α = 99.08°, β = 99.08°, γ = 122.43°
Element x y z (fractional)
1 Li 0.0000 0.0000 0.0000
2 Li 0.3248 0.6752 0.0000
3 Li 0.6752 0.3248 0.0000
4 Pt 0.5000 0.5000 0.5000
5 Rh 0.1660 0.8340 0.5000
6 Rh 0.8340 0.1660 0.5000
7 O 0.0845 0.4395 0.2690
8 O 0.2358 0.2358 0.7212
9 O 0.4395 0.0845 0.2690
10 O 0.5605 0.9155 0.7310
11 O 0.7642 0.7642 0.2788
12 O 0.9155 0.5605 0.7310

Total magnetic moment, μB per cell: 1.0
Calculated total energy, eV per atom: -5.739